## TlNiN (PBE)

Data for a relaxed structure of TlNiN.

Output
DFT total energy   -15.5 eV per formula unit
Excess energy over the best structure of this formula in the dataset   0.0 meV/atom
D(E_F)   0.551 states/eV per atom
Space-group type   C2/m (12)
Uncorrected formation energy   336 meV per atom

a = 3.1729 Å, b = 3.1729 Å, c = 10.5556 Å
α = 96.78°, β = 96.78°, γ = 59.68°
With the nearest neighbours (Å) after each atom.
Element x y z (fractional)
Tl (0.2456, 0.2456, 0.1439)  3 Ni 2.90-2.92, 6 Tl 3.16-3.17
Tl (0.7544, 0.7544, 0.8561)  3 Ni 2.90-2.92, 6 Tl 3.16-3.17
Ni (0.3692, 0.3692, 0.6397)  3 N 2.00-2.01
Ni (0.6308, 0.6308, 0.3603)  3 N 2.00-2.01
N (0.0158, 0.0158, 0.5611)  1 N 1.28
N (0.9842, 0.9842, 0.4389)  1 N 1.28